(1)
# Sc2In3Co PBE-GGA relaxed
data_Sc2In3Co
_chemical_formula_sum 'Sc2 In3 Co1'
_cell_length_a 3.330
_cell_length_b 4.707
_cell_length_c 8.058
_cell_angle_alpha 90.00
_cell_angle_beta 90.00
_cell_angle_gamma 90.00
_symmetry_space_group_name_H-M 'P m m 2'
_symmetry_Int_Tables_number 25
loop_
_symmetry_equiv_pos_as_xyz
'x,y,z'
'-x,-y,z'
'-x,y,z'
'x,-y,z'
loop_
_atom_site_label
_atom_site_fract_x
_atom_site_fract_y
_atom_site_fract_z
_atom_site_occupancy
Sc1 0.000 0.000 0.000 1
Sc2 0.000 0.500 0.429 1
In1 0.500 0.000 0.583 1
In2 0.500 0.500 0.130 1
In3 0.500 0.500 0.780 1
Co1 0.500 0.000 0.260 1
# Theoretical density in g cm⁻³: 6.5

***

(2)
# Sc12InCo6 PBE-GGA relaxed
data_Sc12InCo6
_chemical_formula_sum 'Sc24 In2 Co12'
_cell_length_a 8.991
_cell_length_b 8.991
_cell_length_c 8.991
_cell_angle_alpha 90.00
_cell_angle_beta 90.00
_cell_angle_gamma 90.00
_symmetry_space_group_name_H-M 'I m -3'
_symmetry_Int_Tables_number 204
_symmetry_space_group_name_Hall '-I 2 2 3'
loop_
_atom_site_label
_atom_site_fract_x
_atom_site_fract_y
_atom_site_fract_z
_atom_site_occupancy
Sc1 0.000 0.197 0.297 1
In1 0.000 0.000 0.000 1
Co1 0.000 0.380 0.500 1
# Theoretical density in g cm⁻³: 4.6

***

(3)
# Sc7InCo2 PBE-GGA relaxed
data_Sc7InCo2
_chemical_formula_sum 'Sc14 In2 Co4'
_cell_length_a 8.164
_cell_length_b 12.585
_cell_length_c 4.647
_cell_angle_alpha 90.00
_cell_angle_beta 90.00
_cell_angle_gamma 90.00
_symmetry_space_group_name_H-M 'C m m m'
_symmetry_Int_Tables_number 65
_symmetry_space_group_name_Hall '-C 2 2'
loop_
_atom_site_label
_atom_site_fract_x
_atom_site_fract_y
_atom_site_fract_z
_atom_site_occupancy
Sc1 0.000 0.000 0.000 1
Sc2 0.000 0.209 0.500 1
Sc3 0.186 0.368 0.000 1
In1 0.000 0.500 0.500 1
Co1 0.000 0.201 0.000 1
# Theoretical density in g cm⁻³: 3.8

***

(4)
# Sc3InCo8 PBE-GGA relaxed
data_Sc3InCo8
_chemical_formula_sum 'Sc3 In1 Co8'
_cell_length_a 4.8573
_cell_length_b 4.8573
_cell_length_c 8.0407
_cell_angle_alpha 90.00
_cell_angle_beta 90.00
_cell_angle_gamma 120.00
_symmetry_space_group_name_H-M 'P 3 m 1'
_symmetry_Int_Tables_number 156
loop_
_symmetry_equiv_pos_as_xyz
'x,y,z'
'-y,x-y,z'
'-x+y,-x,z'
'-y,-x,z'
'-x+y,y,z'
'x,x-y,z'
loop_
_atom_site_label
_atom_site_fract_x
_atom_site_fract_y
_atom_site_fract_z
_atom_site_occupancy
Sc1 0.0000 0.0000 0.0000 1
Sc2 0.0000 0.0000 0.3741 1
Sc3 0.3333 0.6667 0.8613 1
In1 0.3333 0.6667 0.4947 1
Co1 0.0063 0.5031 0.1826 1
Co2 0.3290 0.1645 0.6862 1
Co3 0.6667 0.3333 0.4348 1
Co4 0.6667 0.3333 0.9396 1
# Theoretical density in g cm⁻³: 7.3

***

(5)
# Sc6In3Co PBE-GGA relaxed
data_Sc6In3Co
_chemical_formula_sum 'Sc12 In6 Co2'
_cell_length_a 8.624
_cell_length_b 4.917
_cell_length_c 10.603
_cell_angle_alpha 90.00
_cell_angle_beta 106.88
_cell_angle_gamma 90.00
_symmetry_space_group_name_H-M 'P 1 21/m 1'
_symmetry_Int_Tables_number 11
loop_
_symmetry_equiv_pos_as_xyz
'x,y,z'
'-x,-y,-z'
'-x,y+1/2,-z'
'x,-y+1/2,z'
loop_
_atom_site_label
_atom_site_fract_x
_atom_site_fract_y
_atom_site_fract_z
_atom_site_occupancy
Sc1 0.050 0.250 0.420 1
Sc2 0.200 0.750 0.169 1
Sc3 0.289 0.250 0.007 1
Sc4 0.354 0.750 0.828 1
Sc5 0.367 0.250 0.333 1
Sc6 0.408 0.250 0.647 1
In1 0.014 0.750 0.882 1
In2 0.105 0.250 0.721 1
In3 0.281 0.750 0.480 1
Co1 0.463 0.750 0.094 1
# Theoretical density in g cm⁻³: 5.2

***

(6)
# Sc3InCo PBE-GGA relaxed
data_Sc3InCo
_chemical_formula_sum 'Sc6 In2 Co2'
_cell_length_a 6.9061
_cell_length_b 6.9061
_cell_length_c 5.1163
_cell_angle_alpha 90.00
_cell_angle_beta 90.00
_cell_angle_gamma 120.00
_symmetry_space_group_name_H-M 'P 63/m m c'
_symmetry_Int_Tables_number 194
_symmetry_space_group_name_Hall '-P 6c 2c'
loop_
_atom_site_label
_atom_site_fract_x
_atom_site_fract_y
_atom_site_fract_z
_atom_site_occupancy
Sc1 0.1781 0.3563 0.2500 1
In1 0.3333 0.6667 0.7500 1
Co1 0.0000 0.0000 0.0000 1
# Theoretical density in g cm⁻³: 4.8

***

(7)
# Sc4InCo PBE-GGA relaxed
data_Sc4InCo
_chemical_formula_sum 'Sc16 In4 Co4'
_cell_length_a 15.372
_cell_length_b 5.807
_cell_length_c 6.277
_cell_angle_alpha 90.00
_cell_angle_beta 108.82
_cell_angle_gamma 90.00
_symmetry_space_group_name_H-M 'C 1 2/c 1'
_symmetry_Int_Tables_number 15
loop_
_symmetry_equiv_pos_as_xyz
'x,y,z'
'-x,-y,-z'
'-x,y,-z+1/2'
'x,-y,z+1/2'
'x+1/2,y+1/2,z'
'-x+1/2,-y+1/2,-z'
'-x+1/2,y+1/2,-z+1/2'
'x+1/2,-y+1/2,z+1/2'
loop_
_atom_site_label
_atom_site_fract_x
_atom_site_fract_y
_atom_site_fract_z
_atom_site_occupancy
Sc1 0.095 0.115 0.492 1
Sc2 0.186 0.390 0.127 1
In1 0.000 0.411 0.750 1
Co1 0.250 0.250 0.500 1
# Theoretical density in g cm⁻³: 4.4

***

(8)
# ScInCo2 PBE-GGA relaxed
data_ScInCo2
_chemical_formula_sum 'Sc1 In1 Co2'
_cell_length_a 4.275
_cell_length_b 4.275
_cell_length_c 3.278
_cell_angle_alpha 90.00
_cell_angle_beta 90.00
_cell_angle_gamma 90.00
_symmetry_space_group_name_H-M 'P 4/m m m'
_symmetry_Int_Tables_number 123
_symmetry_space_group_name_Hall '-P 4 2'
loop_
_atom_site_label
_atom_site_fract_x
_atom_site_fract_y
_atom_site_fract_z
_atom_site_occupancy
Sc1 0.000 0.000 0.000 1
In1 0.500 0.500 0.000 1
Co1 0.000 0.500 0.500 1
# Theoretical density in g cm⁻³: 7.7

***

(9)
# ScInCo2 PBE-GGA relaxed
data_ScInCo2
_chemical_formula_sum 'Sc2 In2 Co4'
_cell_length_a 3.735
_cell_length_b 3.735
_cell_length_c 8.754
_cell_angle_alpha 90.00
_cell_angle_beta 90.00
_cell_angle_gamma 90.00
_symmetry_space_group_name_H-M 'I -4 m 2'
_symmetry_Int_Tables_number 119
_symmetry_space_group_name_Hall 'I -4 -2'
loop_
_atom_site_label
_atom_site_fract_x
_atom_site_fract_y
_atom_site_fract_z
_atom_site_occupancy
Sc1 0.000 0.000 0.000 1
In1 0.000 0.500 0.250 1
Co1 0.000 0.000 0.500 1
Co2 0.000 0.500 0.750 1
# Theoretical density in g cm⁻³: 7.6

***

(10)
# Sc4InCo2 PBE-GGA relaxed
data_Sc4InCo2
_chemical_formula_sum 'Sc16 In4 Co8'
_cell_length_a 4.784
_cell_length_b 8.289
_cell_length_c 13.328
_cell_angle_alpha 90.00
_cell_angle_beta 90.00
_cell_angle_gamma 90.00
_symmetry_space_group_name_H-M 'C m c m'
_symmetry_Int_Tables_number 63
_symmetry_space_group_name_Hall '-C 2c 2'
loop_
_atom_site_label
_atom_site_fract_x
_atom_site_fract_y
_atom_site_fract_z
_atom_site_occupancy
Sc1 0.000 0.000 0.000 1
Sc2 0.000 0.333 0.122 1
Sc3 0.000 0.334 0.750 1
In1 0.000 0.001 0.750 1
Co1 0.000 0.334 0.558 1
# Theoretical density in g cm⁻³: 5.2

***

(11)
# ScIn2Co2 PBE-GGA relaxed
data_ScIn2Co2
_chemical_formula_sum 'Sc2 In4 Co4'
_cell_length_a 3.773
_cell_length_b 3.773
_cell_length_c 12.961
_cell_angle_alpha 90.00
_cell_angle_beta 90.00
_cell_angle_gamma 90.00
_symmetry_space_group_name_H-M 'I 4/m m m'
_symmetry_Int_Tables_number 139
_symmetry_space_group_name_Hall '-I 4 2'
loop_
_atom_site_label
_atom_site_fract_x
_atom_site_fract_y
_atom_site_fract_z
_atom_site_occupancy
Sc1 0.000 0.000 0.000 1
In1 0.000 0.000 0.387 1
Co1 0.000 0.500 0.250 1
# Theoretical density in g cm⁻³: 7.1

***

(12)
# ScInCo2 PBE-GGA relaxed
data_ScInCo2
_chemical_formula_sum 'Sc3 In3 Co6'
_cell_length_a 3.0535
_cell_length_b 3.0535
_cell_length_c 24.1190
_cell_angle_alpha 90.00
_cell_angle_beta 90.00
_cell_angle_gamma 120.00
_symmetry_space_group_name_H-M 'R -3 m'
_symmetry_Int_Tables_number 166
_symmetry_space_group_name_Hall '-R 3 2"'
loop_
_atom_site_label
_atom_site_fract_x
_atom_site_fract_y
_atom_site_fract_z
_atom_site_occupancy
Sc1 0.0000 0.0000 0.0000 1
In1 0.0000 0.0000 0.5000 1
Co1 0.0000 0.0000 0.2515 1
# Theoretical density in g cm⁻³: 7.1

***

Total magnetic moment values (in μB/cell) by entry order: 0.4, 0.0, 0.0, 7.9, 1.7, 0.0, 2.5, 0.0, 1.2, 0.0, 5.3, 3.4.
ΔE_f values (in eV per atom) by entry order: -0.2391, -0.3064, -0.0572, -0.2833, -0.3322, -0.3298, -0.1895, -0.2014, -0.0709, -0.2465, 0.1476, 0.2117.